Material: AlVAu3
Method: DFT, PBE
State: optimized geometry

```
10
Lattice="-2.114 -1.158 1.655 -4.118 -0.887 -5.882 4.195 -6.993 0.464" Properties=species:S:1:pos:R:3 pbc="T T T"
Al -1.467 -2.674 -2.453
Al -0.571 -6.364 -1.309
V -0.254 -1.191 0.134
V -1.784 -7.847 -3.896
Au -2.893 -1.238 -0.687
Au 0.855 -7.799 -3.075
Au -0.979 -3.942 -0.134
Au -1.059 -5.096 -3.628
Au -3.737 -3.826 -3.576
Au 1.698 -5.212 -0.186
```


Material: AlVAu3
Method: DFT, PBE
State: optimized geometry

```
5
Lattice="4.771 0.000 0.000 0.000 4.771 0.000 0.000 0.000 4.771" Properties=species:S:1:pos:R:3 pbc="T T T"
Au 0.000 2.385 0.000
Au 0.000 0.000 2.385
Au 2.385 0.000 0.000
Al 0.000 0.000 0.000
V 2.385 2.385 2.385
```


Material: Al3VAu
Method: DFT, PBE
State: optimized geometry

```
5
Lattice="-0.595 -0.552 -4.742 -3.498 -3.203 0.812 -3.250 3.548 -0.005" Properties=species:S:1:pos:R:3 pbc="T T T"
Au 0.000 0.000 0.000
Al -1.749 -1.601 0.406
Al -1.625 1.774 -0.003
Al -0.297 -0.276 -2.371
V -3.671 -0.103 -1.968
```


| no. | calculated formation energy (eV per atom) | excess energy over the best structure of this formula in the dataset (meV per atom) |
| --- | --- | --- |
| 1 | -0.138 | 0.0 |
| 2 | 0.509 | 646.6 |
| 3 | 0.669 | 0.0 |